[1]
First-principles (GGA-PBE) data for an optimized crystal structure of Rb2CeI3Br3, as listed in the Alexandria database.

Cell: 4.5005 9.3205 9.3205 Å, 120.00 90.00 90.00°
Closest atoms and distances in Å follow each position.
Fractional positions:
Rb 0.5000 0.3333 0.6667  6 I 3.73, 3 Br 3.76
Rb 0.5000 0.6667 0.3333  6 I 3.73, 3 Br 3.76
Ce 0.0000 0.0000 0.0000  6 Br 3.04, 3 I 3.40
I 0.0000 0.0000 0.3647  1 Ce 3.40, 4 Br 3.72, 4 Rb 3.73
I 0.0000 0.6353 0.6353  1 Ce 3.40, 4 Br 3.72, 4 Rb 3.73
I 0.0000 0.3647 0.0000  1 Ce 3.40, 4 Br 3.72, 4 Rb 3.73
Br 0.5000 0.7812 0.0000  2 Ce 3.04
Br 0.5000 0.2188 0.2188  2 Ce 3.04
Br 0.5000 0.0000 0.7812  2 Ce 3.04

Properties
Formation energy from raw total energies   -1.4245 eV/atom


[2]
First-principles (GGA-PBE) data for an optimized crystal structure of CeTl2I4Br2, as listed in the Alexandria database.

Cell: 7.7701 8.3223 8.3223 Å, 61.38 66.98 66.98°
Closest atoms and distances in Å follow each position.
Fractional positions:
Ce 0.5000 0.0000 0.0000  2 Br 2.78, 4 I 3.05
Tl 0.2937 0.7391 0.7391  1 Br 3.38, 4 I 3.47-3.58
Tl 0.7063 0.2609 0.2609  1 Br 3.38, 4 I 3.47-3.58
I 0.3112 0.6732 0.1769  1 Ce 3.05
I 0.6888 0.8231 0.3268  1 Ce 3.05
I 0.6888 0.3268 0.8231  1 Ce 3.05
I 0.3112 0.1769 0.6732  1 Ce 3.05
Br 0.1815 0.1970 0.1970  1 Ce 2.78
Br 0.8185 0.8030 0.8030  1 Ce 2.78

Properties
Formation energy from raw total energies   -1.0477 eV/atom


[3]
First-principles (GGA-PBE) data for an optimized crystal structure of CeInBr4, as listed in the Alexandria database.

Cell: 8.1769 7.3711 9.9119 Å, 115.95 118.15 80.83°
Closest atoms and distances in Å follow each position.
Fractional positions:
Ce 0.4158 0.1658 0.8315  6 Br 2.86-3.01
Ce 0.5842 0.8342 0.1685  6 Br 2.86-3.01
In 0.1554 0.4054 0.3108  6 Br 3.24-3.62
In 0.8446 0.5946 0.6892  6 Br 3.24-3.62
Br 0.2410 0.9535 0.9277  2 Ce 2.95-3.01
Br 0.6867 0.4742 0.9277  2 Ce 2.95-3.01
Br 0.8694 0.7232 0.4252  1 Ce 2.86
Br 0.1306 0.2768 0.5748  1 Ce 2.86
Br 0.4442 0.7980 0.5748  1 Ce 2.86
Br 0.3133 0.5258 0.0723  2 Ce 2.95-3.01
Br 0.5558 0.2020 0.4252  1 Ce 2.86
Br 0.7590 0.0465 0.0723  2 Ce 2.95-3.01

Properties
Formation energy from raw total energies   -1.4176 eV/atom


[4]
First-principles (GGA-PBE) data for an optimized crystal structure of CeIn3Br7, as listed in the Alexandria database.

Cell: 7.6207 7.6207 8.4657 Å, 68.52 68.52 82.57°
Closest atoms and distances in Å follow each position.
Fractional positions:
Ce 0.9393 0.9393 0.0389  7 Br 2.85-3.00
In 0.2627 0.8157 0.4687  6 Br 3.13-3.27
In 0.5264 0.5264 0.9802  6 Br 3.08-3.44
In 0.8157 0.2627 0.4687  6 Br 3.13-3.27
Br 0.1321 0.1321 0.1740  1 Ce 2.94, 2 In 3.13
Br 0.1003 0.6223 0.2640  1 Ce 2.92, 2 In 3.24-3.26
Br 0.3099 0.9245 0.7909  1 Ce 2.85
Br 0.6223 0.1003 0.2640  1 Ce 2.92, 2 In 3.24-3.26
Br 0.6396 0.6396 0.2437  1 Ce 3.00, 3 In 3.08-3.25
Br 0.9245 0.3099 0.7909  1 Ce 2.85
Br 0.8522 0.8522 0.7659  1 Ce 2.93, 3 In 3.26-3.27

Properties
Formation energy from raw total energies   -1.0899 eV/atom


[5]
First-principles (GGA-PBE) data for an optimized crystal structure of CeInBr2, as listed in the Alexandria database.

Cell: 3.9827 3.9827 10.7268 Å, 79.30 79.30 60.00°
Closest atoms and distances in Å follow each position.
Fractional positions:
Br 0.0903 0.0903 0.7290  1 Ce 2.84
Br 0.9097 0.9097 0.2710  1 Ce 2.84
Ce 0.0000 0.0000 0.0000  2 Br 2.84
In 0.5000 0.5000 0.5000  6 Br 3.32

Properties
Formation energy from raw total energies   -0.6319 eV/atom


[6]
First-principles (GGA-PBE) data for an optimized crystal structure of Ce2In5Br12, as listed in the Alexandria database.

Cell: 8.6587 9.9679 10.6349 Å, 107.40 90.00 115.74°
Closest atoms and distances in Å follow each position.
Fractional positions:
Ce 0.7489 0.0000 0.0000  6 Br 2.76-2.94
Ce 0.2511 0.0000 0.0000  6 Br 2.76-2.94
In 0.2795 0.5590 0.6209  4 Br 3.21-3.43
In 0.3188 0.6375 0.2325  2 Br 3.04
In 0.0000 0.0000 0.5000  6 Br 3.25-3.37
In 0.6812 0.3625 0.7675  2 Br 3.04
In 0.7205 0.4410 0.3791  4 Br 3.21-3.43
Br 0.0020 0.0040 0.1844  2 Ce 2.92
Br 0.0987 0.6744 0.9150  1 Ce 2.76
Br 0.5758 0.6744 0.9150  1 Ce 2.76
Br 0.1117 0.7181 0.4477  3 In 3.04-3.25
Br 0.6064 0.7181 0.4477  3 In 3.04-3.25
Br 0.4949 0.9899 0.8099  2 Ce 2.94
Br 0.5051 0.0101 0.1901  2 Ce 2.94
Br 0.8883 0.2819 0.5523  3 In 3.04-3.25
Br 0.3936 0.2819 0.5523  3 In 3.04-3.25
Br 0.9013 0.3256 0.0850  1 Ce 2.76
Br 0.4242 0.3256 0.0850  1 Ce 2.76
Br 0.9980 0.9960 0.8156  2 Ce 2.92

Properties
Formation energy from raw total energies   -1.1258 eV/atom


- Among the records above, which one has the highest formation energy from raw total energies?
  CeInBr2


- What is the formation energy from raw total energies in the fifth record?
  -0.6319 eV/atom